Crystalline Tl2CuS4 at its relaxed geometry. Source: Alexandria via LeMat-Bulk, functional PBE-GGA.

Cell and atoms, written as POSCAR:
```
Tl2CuS4
1.0
-4.705 6.128 3.350
4.705 -6.128 3.350
4.705 6.128 -3.350
Tl Cu S
4 2 8
Direct
0.135 0.176 0.311
0.365 0.676 0.041
0.635 0.324 0.959
0.865 0.824 0.689
0.250 0.750 0.500
0.750 0.250 0.500
0.092 0.610 0.702
0.126 0.825 0.952
0.374 0.325 0.699
0.408 0.110 0.517
0.592 0.890 0.483
0.626 0.675 0.301
0.874 0.175 0.048
0.908 0.390 0.298
```

Summary:
Its symmetry is Ibam (72). The energy relative to the elements, uncorrected comes out at -141 meV/atom.

---

Crystalline TlCu2S2 at its relaxed geometry. Source: Alexandria via LeMat-Bulk, functional PBE-GGA.

Cell and atoms, written as POSCAR:
```
TlCu2S2
1.0
-2.342 2.342 5.286
2.342 -2.342 5.286
2.342 2.342 -5.286
Tl Cu S
1 2 2
Direct
0.000 0.000 0.000
0.277 0.277 0.000
0.723 0.723 0.000
0.250 0.750 0.500
0.750 0.250 0.500
```

Summary:
The value obtained for the polymorph energy (0 for the lowest one) is 84 kJ/mol of formula units. Its symmetry is I4/mmm (139). The energy relative to the elements, uncorrected comes out at -84 meV/atom.

---

Crystalline Tl3CuS2 at its relaxed geometry. Source: Alexandria via LeMat-Bulk, functional PBE-GGA.

Cell and atoms, written as POSCAR:
```
Tl3CuS2
1.0
-2.540 9.887 4.072
2.540 -9.887 4.072
2.540 9.887 -4.072
Tl Cu S
6 2 4
Direct
0.065 0.750 0.315
0.250 0.250 0.000
0.435 0.750 0.685
0.565 0.250 0.315
0.750 0.750 0.000
0.935 0.250 0.685
0.000 0.500 0.500
0.500 0.000 0.500
0.098 0.683 0.780
0.402 0.183 0.585
0.598 0.817 0.415
0.902 0.317 0.220
```

Summary:
Its symmetry is Ibam (72). The energy relative to the elements, uncorrected comes out at -226 meV/atom.

---

Crystalline Tl2Cu2S3 at its relaxed geometry. Source: Alexandria via LeMat-Bulk, functional PBE-GGA.

Cell and atoms, written as POSCAR:
```
Tl2Cu2S3
1.0
13.059 0.000 0.000
0.000 4.014 0.000
0.000 0.000 12.592
Tl Cu S
8 8 12
Direct
0.061 0.250 0.242
0.194 0.250 0.929
0.306 0.750 0.429
0.439 0.750 0.742
0.561 0.250 0.258
0.694 0.250 0.571
0.806 0.750 0.071
0.939 0.750 0.758
0.070 0.750 0.524
0.207 0.250 0.675
0.293 0.750 0.175
0.430 0.250 0.024
0.570 0.750 0.976
0.707 0.250 0.825
0.793 0.750 0.325
0.930 0.250 0.476
0.118 0.250 0.441
0.127 0.750 0.126
0.133 0.750 0.701
0.367 0.250 0.201
0.373 0.250 0.626
0.382 0.750 0.941
0.618 0.250 0.059
0.627 0.750 0.374
0.633 0.750 0.799
0.867 0.250 0.299
0.873 0.250 0.874
0.882 0.750 0.559
```

Summary:
The value obtained for the polymorph energy (0 for the lowest one) is 0 kJ/mol of formula units. Its symmetry is Pnma (62). The energy relative to the elements, uncorrected comes out at -226 meV/atom.

---

Crystalline TlCu2S3 at its relaxed geometry. Source: Alexandria via LeMat-Bulk, functional PBE-GGA.

Cell and atoms, written as POSCAR:
```
TlCu2S3
1.0
0.000 11.682 5.513
3.901 0.000 5.513
3.901 11.682 0.000
Tl Cu S
4 8 12
Direct
0.317 0.683 0.337
0.587 0.913 0.567
0.683 0.317 0.663
0.913 0.587 0.933
0.002 0.002 0.998
0.083 0.415 0.089
0.161 0.837 0.167
0.252 0.252 0.248
0.415 0.083 0.413
0.506 0.506 0.494
0.756 0.756 0.744
0.837 0.161 0.835
0.083 0.191 0.253
0.100 0.624 0.376
0.191 0.083 0.472
0.322 0.434 0.523
0.350 0.874 0.626
0.434 0.322 0.721
0.529 0.727 0.816
0.624 0.100 0.900
0.727 0.529 0.928
0.778 0.997 0.059
0.874 0.350 0.150
0.997 0.778 0.167
```

Summary:
Its symmetry is Fdd2 (43). The energy relative to the elements, uncorrected comes out at -220 meV/atom.

---

Crystalline TlCuS4 at its relaxed geometry. Source: Alexandria via LeMat-Bulk, functional PBE-GGA.

Cell and atoms, written as POSCAR:
```
TlCuS4
1.0
-2.615 2.615 12.775
2.615 -2.615 12.775
2.615 2.615 -12.775
Tl Cu S
2 2 8
Direct
0.375 0.125 0.250
0.625 0.875 0.750
0.125 0.375 0.750
0.875 0.625 0.250
0.039 0.349 0.027
0.151 0.677 0.689
0.177 0.988 0.527
0.488 0.461 0.811
0.512 0.539 0.189
0.823 0.012 0.473
0.849 0.323 0.311
0.961 0.651 0.973
```

Summary:
Its symmetry is I4_1/a (88). The energy relative to the elements, uncorrected comes out at -67 meV/atom.

---

Crystalline Tl3Cu2S3 at its relaxed geometry. Source: Alexandria via LeMat-Bulk, functional PBE-GGA.

Cell and atoms, written as POSCAR:
```
Tl3Cu2S3
1.0
1.924 -6.389 0.000
1.924 6.389 0.000
0.000 0.000 16.226
Tl Cu S
6 4 6
Direct
0.044 0.956 0.750
0.370 0.630 0.588
0.370 0.630 0.912
0.630 0.370 0.088
0.630 0.370 0.412
0.956 0.044 0.250
0.337 0.663 0.127
0.337 0.663 0.373
0.663 0.337 0.627
0.663 0.337 0.873
0.127 0.873 0.562
0.127 0.873 0.938
0.262 0.738 0.250
0.738 0.262 0.750
0.873 0.127 0.062
0.873 0.127 0.438
```

Summary:
The value obtained for the polymorph energy (0 for the lowest one) is 0 kJ/mol of formula units. Its symmetry is Cmcm (63). The energy relative to the elements, uncorrected comes out at -238 meV/atom.

---

Crystalline TlCu2S2 at its relaxed geometry. Source: Alexandria via LeMat-Bulk, functional PBE-GGA.

Cell and atoms, written as POSCAR:
```
TlCu2S2
1.0
7.462 0.000 0.000
0.000 7.462 0.000
0.000 0.000 3.179
Tl Cu S
2 4 4
Direct
0.000 0.000 0.000
0.500 0.500 0.000
0.116 0.384 0.000
0.384 0.884 0.000
0.616 0.116 0.000
0.884 0.616 0.000
0.153 0.653 0.500
0.347 0.153 0.500
0.653 0.847 0.500
0.847 0.347 0.500
```

Summary:
The value obtained for the polymorph energy (0 for the lowest one) is 203 kJ/mol of formula units. Its symmetry is P4/mbm (127). The energy relative to the elements, uncorrected comes out at 163 meV/atom.

---

Crystalline Tl2Cu2S3 at its relaxed geometry. Source: Alexandria via LeMat-Bulk, functional PBE-GGA.

Cell and atoms, written as POSCAR:
```
Tl2Cu2S3
1.0
8.653 -1.975 0.000
8.653 1.975 0.000
-6.149 0.000 9.244
Tl Cu S
4 4 6
Direct
0.138 0.138 0.486
0.260 0.260 0.870
0.740 0.740 0.130
0.862 0.862 0.514
0.078 0.078 0.131
0.479 0.479 0.212
0.521 0.521 0.788
0.922 0.922 0.869
0.080 0.080 0.923
0.368 0.368 0.737
0.447 0.447 0.389
0.553 0.553 0.611
0.632 0.632 0.263
0.920 0.920 0.077
```

Summary:
The value obtained for the polymorph energy (0 for the lowest one) is 9 kJ/mol of formula units. Its symmetry is C2/m (12). The energy relative to the elements, uncorrected comes out at -212 meV/atom.

---

Crystalline TlCu3S at its relaxed geometry. Source: Alexandria via LeMat-Bulk, functional PBE-GGA.

Cell and atoms, written as POSCAR:
```
TlCu3S
1.0
4.510 0.000 0.000
0.000 4.510 0.000
0.000 0.000 4.510
Tl Cu S
1 3 1
Direct
0.000 0.000 0.000
0.000 0.500 0.500
0.500 0.000 0.500
0.500 0.500 0.000
0.500 0.500 0.500
```

Summary:
The value obtained for the polymorph energy (0 for the lowest one) is 0 kJ/mol of formula units. Its symmetry is Pm-3m (221). The energy relative to the elements, uncorrected comes out at 260 meV/atom.

---

Crystalline TlCu2S8 at its relaxed geometry. Source: Alexandria via LeMat-Bulk, functional PBE-GGA.

Cell and atoms, written as POSCAR:
```
TlCu2S8
1.0
5.881 0.000 0.000
1.024 5.792 0.000
0.961 0.774 8.209
Tl Cu S
1 2 8
Direct
0.000 0.000 0.000
0.340 0.338 0.588
0.660 0.662 0.412
0.230 0.643 0.747
0.235 0.237 0.365
0.356 0.771 0.253
0.425 0.426 0.190
0.575 0.574 0.810
0.644 0.229 0.747
0.765 0.763 0.635
0.770 0.357 0.253
```

Summary:
Its symmetry is P-1 (2). The energy relative to the elements, uncorrected comes out at 109 meV/atom.

---

Crystalline TlCuS2 at its relaxed geometry. Source: Alexandria via LeMat-Bulk, functional PBE-GGA.

Cell and atoms, written as POSCAR:
```
TlCuS2
1.0
1.809 1.044 6.975
-1.809 1.044 6.975
0.000 -2.089 6.975
Tl Cu S
1 1 2
Direct
0.000 0.000 0.000
0.169 0.169 0.169
0.560 0.560 0.560
0.774 0.774 0.774
```

Summary:
Its symmetry is R3m (160). The energy relative to the elements, uncorrected comes out at -41 meV/atom.